The following is a DFT calculation (PBE) of LaTaTiIr2 after structural relaxation.

Summary:
DOS(E_F) = 4.055 states/eV per cell
energy of formation = -0.7193 eV per atom

Cell and atoms, written as extended XYZ:
```
5
Lattice="-2.206 2.206 5.355 2.206 -2.206 5.355 2.206 2.206 -5.355" Properties=species:S:1:pos:R:3 pbc="T T T"
La 0.000 0.000 0.000
Ta 0.000 2.206 2.678
Ti 2.206 0.000 2.678
Ir 0.000 0.000 4.010
Ir 0.000 0.000 6.700
```